Record 1
First-principles (GGA-PBEsol) data for crystalline Ge2TeF2 at its relaxed geometry, as listed in the Alexandria database.

a b c (Å): 5.404 5.404 5.404
angles (deg): 130.81 130.81 72.11
Fractional positions:
Ge: 0.250 0.750 0.500
Ge: 0.750 0.250 0.500
Te: 0.000 0.000 0.000
F: 0.344 0.344 0.000
F: 0.656 0.656 0.000


Record 2
First-principles (GGA-PBEsol) data for crystalline Ti2GeF2 at its relaxed geometry, as listed in the Alexandria database.

a b c (Å): 5.999 5.999 5.999
angles (deg): 147.64 147.64 46.41
Fractional positions:
Ti: 0.122 0.122 0.000
Ti: 0.878 0.878 0.000
Ge: 0.500 0.500 0.000
F: 0.250 0.750 0.500
F: 0.750 0.250 0.500


Record 3
First-principles (GGA-PBEsol) data for crystalline Tl2GeF6 at its relaxed geometry, as listed in the Alexandria database.

a b c (Å): 5.806 5.806 4.824
angles (deg): 90.00 90.00 120.00
Fractional positions:
Tl: 0.333 0.667 0.297
Tl: 0.667 0.333 0.703
Ge: 0.000 0.000 0.000
F: 0.150 0.300 0.788
F: 0.150 0.850 0.788
F: 0.300 0.150 0.212
F: 0.700 0.850 0.788
F: 0.850 0.150 0.212
F: 0.850 0.700 0.212


The evaluated Fermi-level density of states for the records listed, in turn: 0.07, 0.91, 0.00 states/eV per atom.
The evaluated energy relative to the elements, uncorrected for the records listed, in turn: -0.89, -1.85, -2.25 eV/atom.